Nd2AsRh3 | PBE | optimized geometry

```
Nd2AsRh3
1.0
2.834 1.636 4.055
-2.834 1.636 4.055
0.000 -3.272 4.055
Nd As Rh
2 1 3
Cartesian
0.000 0.000 1.528 Nd
0.000 0.000 10.637 Nd
0.000 0.000 6.082 As
-1.417 -0.818 4.055 Rh
-1.417 0.818 8.110 Rh
0.000 1.636 4.055 Rh
```

energy relative to the elements = -0.81 eV per atom
raw total energy = -6.848 eV per atom
space-group type = R-3m
magnetic moment = 0.00 μB/atom